## Sm2SI3 (PBE)

Data for Sm2SI3 after structural relaxation.

Raw formation energy = -1.52 eV per atom
Electronic total energy = -54.65 eV per cell
Space-group type = C2/m, No. 12

abc: 4.619 9.331 11.295
angles: 72.47 78.20 75.67
Element x y z (fractional)
Sm (0.860, 0.484, 0.797)
Sm (0.140, 0.516, 0.203)
Sm (0.588, 0.274, 0.550)
Sm (0.412, 0.726, 0.450)
S (0.414, 0.501, 0.671)
S (0.586, 0.499, 0.329)
I (0.048, 0.145, 0.759)
I (0.952, 0.855, 0.241)
I (0.659, 0.693, 0.989)
I (0.341, 0.307, 0.011)
I (0.773, 0.841, 0.612)
I (0.227, 0.159, 0.388)